! Pm2CoCu2O6 GGA+U relaxed; values from VASP
&SYSTEM
  ibrav = 0, nat = 11, ntyp = 4
/
ATOMIC_SPECIES
Pm 145.00 Pm.upf
Co 58.93 Co.upf
Cu 63.55 Cu.upf
O 16.00 O.upf
CELL_PARAMETERS angstrom
2.8588 1.6505 4.8780
-2.8588 1.6505 4.8780
0.0000 -3.3010 4.8780
ATOMIC_POSITIONS angstrom
Pm 0.0000 0.0000 3.0981
Pm 0.0000 0.0000 11.5359
Co 0.0000 0.0000 0.0000
Cu 0.0000 0.0000 6.0306
Cu 0.0000 0.0000 8.6034
O -1.6098 -0.9294 8.4786
O 0.0000 -1.8588 6.1554
O -1.6098 0.9294 6.1554
O 1.6098 -0.9294 8.4786
O 0.0000 1.8588 8.4786
O 1.6098 0.9294 6.1554
! V, Å³ per atom: 12.6
! Crystal system: trigonal
! E_tot, eV per atom: -6.389